[1]
This record from Alexandria via LeMat-Bulk describes a relaxed TmTlCd2 crystal. The functional is PBE.

Values from the calculation:
The calculation puts the formation energy at -0.0418 eV/atom. Its final energy is -2.209 eV/atom. Its theoretical density is 9.23 g/cm³. The energy relative to the lowest polymorph listed for this composition is 174 meV per atom. Its crystal system is trigonal.

abc: 10.212 10.212 10.212
angles: 19.87 19.87 19.87
Fractional positions:
1 Tm 0.000 0.000 0.000
2 Tl 0.168 0.168 0.168
3 Cd 0.416 0.416 0.416
4 Cd 0.584 0.584 0.584

=====

[2]
This record from Alexandria via LeMat-Bulk describes a relaxed MnTl2Cr crystal. The functional is PBE.

Values from the calculation:
The calculation puts the formation energy at 0.6138 eV/atom. Its final energy is -5.268 eV/atom. Its theoretical density is 10.42 g/cm³. The energy relative to the lowest polymorph listed for this composition is 201 meV per atom. Its crystal system is tetragonal.

abc: 5.086 5.086 5.086
angles: 126.49 126.49 79.08
Fractional positions:
1 Mn 0.000 0.000 0.000
2 Tl 0.250 0.750 0.500
3 Tl 0.750 0.250 0.500
4 Cr 0.500 0.500 0.000

=====

[3]
This record from Alexandria via LeMat-Bulk describes a relaxed CdRh2Cl crystal. The functional is PBE.

Values from the calculation:
Its final energy is -4.054 eV/atom. Its theoretical density is 8.75 g/cm³. The energy relative to the lowest polymorph listed for this composition is 296 meV per atom. Its crystal system is orthorhombic. The value obtained for the uncorrected formation energy is 1.2 eV per formula unit.

abc: 2.940 4.577 4.987
angles: 90.00 90.00 90.00
Fractional positions:
1 Cd 0.000 0.000 0.000
2 Rh 0.000 0.500 0.500
3 Rh 0.500 0.500 0.000
4 Cl 0.500 0.000 0.500

=====

[4]
This record from Alexandria via LeMat-Bulk describes a relaxed RbSrHoF6 crystal. The functional is PBE.

Values from the calculation:
Its final energy is -5.754 eV/atom. Its theoretical density is 4.15 g/cm³. Its crystal system is orthorhombic. The value obtained for the uncorrected formation energy is -33.3 eV per formula unit.

abc: 7.991 7.991 7.991
angles: 120.03 119.53 90.38
Fractional positions:
1 Rb 0.392 0.142 0.250
2 Rb 0.608 0.858 0.750
3 Sr 0.000 0.000 0.500
4 Sr 0.000 0.500 0.000
5 Ho 0.000 0.500 0.500
6 Ho 0.500 0.500 0.000
7 F 0.115 0.865 0.250
8 F 0.160 0.442 0.336
9 F 0.160 0.824 0.718
10 F 0.172 0.422 0.750
11 F 0.394 0.176 0.836
12 F 0.394 0.558 0.218
13 F 0.606 0.442 0.782
14 F 0.606 0.824 0.164
15 F 0.828 0.578 0.250
16 F 0.840 0.176 0.282
17 F 0.840 0.558 0.664
18 F 0.885 0.135 0.750

=====

[5]
This record from Alexandria via LeMat-Bulk describes a relaxed SrTbTl crystal. The functional is PBE.

Values from the calculation:
The calculation puts the formation energy at -0.2678 eV/atom. Its final energy is -3.161 eV/atom. Its theoretical density is 6.98 g/cm³. Its crystal system is tetragonal.

abc: 5.115 5.115 8.198
angles: 90.00 90.00 90.00
Fractional positions:
1 Sr 0.250 0.250 0.141
2 Sr 0.750 0.750 0.859
3 Tb 0.250 0.750 0.500
4 Tb 0.750 0.250 0.500
5 Tl 0.250 0.250 0.731
6 Tl 0.750 0.750 0.269

=====

[6]
This record from Alexandria via LeMat-Bulk describes a relaxed CaPSe2 crystal. The functional is PBE.

Values from the calculation:
Its final energy is -4.215 eV/atom. Its theoretical density is 4.35 g/cm³. Its crystal system is orthorhombic. The value obtained for the uncorrected formation energy is -2.5 eV per formula unit.

abc: 5.481 5.481 5.481
angles: 139.37 123.62 71.78
Fractional positions:
1 Ca 0.000 0.000 0.000
2 P 0.500 0.500 0.000
3 Se 0.307 0.807 0.500
4 Se 0.693 0.193 0.500

=====

[7]
This record from Alexandria via LeMat-Bulk describes a relaxed InNiMo2 crystal. The functional is PBE.

Values from the calculation:
The calculation puts the formation energy at 0.2890 eV/atom. Its final energy is -7.256 eV/atom. Its theoretical density is 9.45 g/cm³. Its crystal system is orthorhombic.

abc: 2.734 4.018 5.844
angles: 90.00 90.00 90.00
Fractional positions:
1 In 0.000 0.000 0.000
2 Ni 0.500 0.500 0.752
3 Mo 0.000 0.000 0.519
4 Mo 0.500 0.500 0.285

=====

[8]
This record from Alexandria via LeMat-Bulk describes a relaxed Na3Ho2MnSe6 crystal. The functional is PBE.

Values from the calculation:
Its final energy is -4.935 eV/atom. Its theoretical density is 5.22 g/cm³. Its crystal system is monoclinic. The value obtained for the uncorrected formation energy is -16.0 eV per formula unit.

abc: 6.994 6.994 7.361
angles: 98.92 98.92 120.43
Fractional positions:
1 Na 0.000 0.000 0.000
2 Na 0.331 0.669 0.000
3 Na 0.669 0.331 0.000
4 Ho 0.168 0.832 0.500
5 Ho 0.832 0.168 0.500
6 Mn 0.500 0.500 0.500
7 Se 0.108 0.424 0.275
8 Se 0.265 0.265 0.714
9 Se 0.424 0.108 0.275
10 Se 0.576 0.892 0.725
11 Se 0.735 0.735 0.286
12 Se 0.892 0.576 0.725

=====

[9]
This record from Alexandria via LeMat-Bulk describes a relaxed Cd2RuBr crystal. The functional is PBE.

Values from the calculation:
Its final energy is -2.827 eV/atom. Its theoretical density is 7.79 g/cm³. The energy relative to the lowest polymorph listed for this composition is 202 meV per atom. Its crystal system is orthorhombic. The value obtained for the uncorrected formation energy is 1.5 eV per formula unit.

abc: 7.077 7.077 7.077
angles: 155.51 143.85 44.15
Fractional positions:
1 Cd 0.188 0.188 0.000
2 Cd 0.812 0.812 0.000
3 Ru 0.000 0.500 0.500
4 Br 0.500 0.000 0.500

=====

[10]
This record from Alexandria via LeMat-Bulk describes a relaxed Tl12Sb3H5 crystal. The functional is PBE.

Values from the calculation:
Its final energy is -2.668 eV/atom. Its theoretical density is 8.67 g/cm³. Its crystal system is cubic.

abc: 14.112 14.112 14.112
angles: 109.47 109.47 109.47
Fractional positions:
1 Tl 0.014 0.198 0.109
2 Tl 0.014 0.316 0.905
3 Tl 0.089 0.698 0.684
4 Tl 0.089 0.891 0.405
5 Tl 0.095 0.609 0.411
6 Tl 0.095 0.986 0.684
7 Tl 0.109 0.014 0.198
8 Tl 0.109 0.595 0.911
9 Tl 0.184 0.198 0.589
10 Tl 0.184 0.486 0.595
11 Tl 0.198 0.109 0.014
12 Tl 0.198 0.589 0.184
13 Tl 0.302 0.316 0.911
14 Tl 0.302 0.486 0.391
15 Tl 0.316 0.905 0.014
16 Tl 0.316 0.911 0.302
17 Tl 0.391 0.302 0.486
18 Tl 0.391 0.589 0.905
19 Tl 0.405 0.089 0.891
20 Tl 0.405 0.816 0.514
21 Tl 0.411 0.095 0.609
22 Tl 0.411 0.816 0.802
23 Tl 0.486 0.391 0.302
24 Tl 0.486 0.595 0.184
25 Tl 0.514 0.405 0.816
26 Tl 0.514 0.609 0.698
27 Tl 0.589 0.184 0.198
28 Tl 0.589 0.905 0.391
29 Tl 0.595 0.184 0.486
30 Tl 0.595 0.911 0.109
31 Tl 0.609 0.411 0.095
32 Tl 0.609 0.698 0.514
33 Tl 0.684 0.089 0.698
34 Tl 0.684 0.095 0.986
35 Tl 0.698 0.514 0.609
36 Tl 0.698 0.684 0.089
37 Tl 0.802 0.411 0.816
38 Tl 0.802 0.891 0.986
39 Tl 0.816 0.514 0.405
40 Tl 0.816 0.802 0.411
41 Tl 0.891 0.405 0.089
42 Tl 0.891 0.986 0.802
43 Tl 0.905 0.014 0.316
44 Tl 0.905 0.391 0.589
45 Tl 0.911 0.109 0.595
46 Tl 0.911 0.302 0.316
47 Tl 0.986 0.684 0.095
48 Tl 0.986 0.802 0.891
49 Sb 0.125 0.250 0.375
50 Sb 0.125 0.375 0.750
51 Sb 0.250 0.375 0.125
52 Sb 0.250 0.875 0.625
53 Sb 0.375 0.125 0.250
54 Sb 0.375 0.750 0.125
55 Sb 0.625 0.250 0.875
56 Sb 0.625 0.875 0.750
57 Sb 0.750 0.125 0.375
58 Sb 0.750 0.625 0.875
59 Sb 0.875 0.625 0.250
60 Sb 0.875 0.750 0.625
61 H 0.000 0.000 0.000
62 H 0.000 0.000 0.500
63 H 0.000 0.500 0.000
64 H 0.000 0.500 0.500
65 H 0.125 0.750 0.875
66 H 0.125 0.875 0.250
67 H 0.250 0.125 0.875
68 H 0.250 0.625 0.375
69 H 0.375 0.250 0.625
70 H 0.375 0.625 0.750
71 H 0.500 0.000 0.000
72 H 0.500 0.000 0.500
73 H 0.500 0.500 0.000
74 H 0.500 0.500 0.500
75 H 0.625 0.375 0.250
76 H 0.625 0.750 0.375
77 H 0.750 0.375 0.625
78 H 0.750 0.875 0.125
79 H 0.875 0.125 0.750
80 H 0.875 0.250 0.125

=====

[11]
This record from Alexandria via LeMat-Bulk describes a relaxed Sm2Cd3Ga crystal. The functional is PBE.

Values from the calculation:
The calculation puts the formation energy at -0.3962 eV/atom. Its final energy is -2.931 eV/atom. Its theoretical density is 7.94 g/cm³. The energy relative to the lowest polymorph listed for this composition is 0 meV per atom. Its crystal system is orthorhombic.

abc: 3.606 4.877 8.416
angles: 90.00 90.00 90.00
Fractional positions:
1 Sm 0.000 0.000 0.000
2 Sm 0.000 0.500 0.475
3 Cd 0.500 0.000 0.650
4 Cd 0.500 0.500 0.155
5 Cd 0.500 0.500 0.817
6 Ga 0.500 0.000 0.322

=====

[12]
This record from Alexandria via LeMat-Bulk describes a relaxed KLiW crystal. The functional is PBE.

Values from the calculation:
The calculation puts the formation energy at 1.0396 eV/atom. Its final energy is -4.282 eV/atom. Its theoretical density is 5.94 g/cm³. The energy relative to the lowest polymorph listed for this composition is 28 meV per atom. Its crystal system is trigonal.

abc: 2.883 2.883 8.919
angles: 90.00 90.00 120.00
Fractional positions:
1 K 0.000 0.000 0.000
2 Li 0.667 0.333 0.392
3 W 0.333 0.667 0.658

=====

[13]
This record from Alexandria via LeMat-Bulk describes a relaxed MnIrW2 crystal. The functional is PBE.

Values from the calculation:
The calculation puts the formation energy at 0.0435 eV/atom. Its final energy is -10.941 eV/atom. Its theoretical density is 17.39 g/cm³. The energy relative to the lowest polymorph listed for this composition is 88 meV per atom. Its crystal system is tetragonal.

abc: 4.787 4.787 4.787
angles: 132.39 132.39 69.61
Fractional positions:
1 Mn 0.000 0.000 0.000
2 Ir 0.750 0.250 0.500
3 W 0.250 0.750 0.500
4 W 0.500 0.500 0.000

=====

[14]
This record from Alexandria via LeMat-Bulk describes a relaxed BiSbPd2 crystal. The functional is PBE.

Values from the calculation:
Its final energy is -4.941 eV/atom. Its theoretical density is 10.48 g/cm³. Its crystal system is monoclinic. The value obtained for the uncorrected formation energy is -1.4 eV per formula unit.

abc: 4.135 6.245 6.669
angles: 90.00 90.20 90.00
Fractional positions:
1 Bi 0.250 0.000 0.053
2 Bi 0.750 0.500 0.947
3 Sb 0.249 0.300 0.573
4 Sb 0.751 0.800 0.427
5 Pd 0.250 0.722 0.701
6 Pd 0.251 0.576 0.260
7 Pd 0.749 0.076 0.740
8 Pd 0.750 0.222 0.299

=====

[15]
This record from Alexandria via LeMat-Bulk describes a relaxed IrOsO2 crystal. The functional is PBE.

Values from the calculation:
Its final energy is -6.459 eV/atom. Its theoretical density is 15.64 g/cm³. The energy relative to the lowest polymorph listed for this composition is 1232 meV per atom. Its crystal system is cubic. The value obtained for the uncorrected formation energy is 4.2 eV per formula unit.

abc: 3.963 3.963 3.963
angles: 60.00 60.00 60.00
Fractional positions:
1 Ir 0.000 0.000 0.000
2 Os 0.500 0.500 0.500
3 O 0.250 0.250 0.250
4 O 0.750 0.750 0.750

=====

[16]
This record from Alexandria via LeMat-Bulk describes a relaxed LaTh2P3Rh12 crystal. The functional is PBE.

Values from the calculation:
The calculation puts the formation energy at -0.4584 eV/atom. Its final energy is -7.359 eV/atom. Its theoretical density is 10.32 g/cm³. Its crystal system is trigonal.

abc: 6.820 6.820 6.820
angles: 83.11 83.11 83.11
Fractional positions:
1 La 0.000 0.000 0.000
2 Th 0.370 0.370 0.370
3 Th 0.630 0.630 0.630
4 P 0.000 0.000 0.500
5 P 0.000 0.500 0.000
6 P 0.500 0.000 0.000
7 Rh 0.094 0.636 0.636
8 Rh 0.180 0.180 0.657
9 Rh 0.180 0.657 0.180
10 Rh 0.343 0.820 0.820
11 Rh 0.364 0.364 0.906
12 Rh 0.364 0.906 0.364
13 Rh 0.636 0.094 0.636
14 Rh 0.636 0.636 0.094
15 Rh 0.657 0.180 0.180
16 Rh 0.820 0.343 0.820
17 Rh 0.820 0.820 0.343
18 Rh 0.906 0.364 0.364

=====

[17]
This record from Alexandria via LeMat-Bulk describes a relaxed KSrP crystal. The functional is PBE.

Values from the calculation:
The calculation puts the formation energy at -0.4439 eV/atom. Its final energy is -3.174 eV/atom. Its theoretical density is 2.35 g/cm³. Its crystal system is tetragonal.

abc: 6.864 6.864 6.864
angles: 143.90 143.90 51.98
Fractional positions:
1 K 0.000 0.000 0.000
2 Sr 0.265 0.265 0.000
3 P 0.727 0.727 0.000

=====

[18]
This record from Alexandria via LeMat-Bulk describes a relaxed Li2AlSi crystal. The functional is PBE.

Values from the calculation:
Its final energy is -3.386 eV/atom. Its theoretical density is 1.90 g/cm³. Its crystal system is monoclinic. The value obtained for the uncorrected formation energy is -0.5 eV per formula unit.

abc: 2.799 4.061 5.304
angles: 90.00 90.69 90.00
Fractional positions:
1 Li 0.002 0.000 0.265
2 Li 0.998 0.000 0.735
3 Al 0.500 0.500 0.000
4 Si 0.500 0.500 0.500

=====

[19]
This record from Alexandria via LeMat-Bulk describes a relaxed Pm6YTl crystal. The functional is PBE.

Values from the calculation:
The calculation puts the formation energy at -0.0840 eV/atom. Its final energy is -4.751 eV/atom. Its theoretical density is 7.48 g/cm³. Its crystal system is tetragonal.

abc: 5.002 5.002 10.328
angles: 90.00 90.00 90.00
Fractional positions:
1 Pm 0.000 0.000 0.000
2 Pm 0.000 0.000 0.500
3 Pm 0.000 0.500 0.244
4 Pm 0.000 0.500 0.756
5 Pm 0.500 0.000 0.244
6 Pm 0.500 0.000 0.756
7 Y 0.500 0.500 0.500
8 Tl 0.500 0.500 0.000

=====

[20]
This record from Alexandria via LeMat-Bulk describes a relaxed CsTaV3 crystal. The functional is PBE.

Values from the calculation:
The calculation puts the formation energy at 2.7279 eV/atom. Its final energy is -5.284 eV/atom. Its theoretical density is 7.50 g/cm³. The energy relative to the lowest polymorph listed for this composition is 999 meV per atom. Its crystal system is cubic.

abc: 4.692 4.692 4.692
angles: 90.00 90.00 90.00
Fractional positions:
1 Cs 0.000 0.000 0.000
2 Ta 0.500 0.500 0.500
3 V 0.000 0.000 0.500
4 V 0.000 0.500 0.000
5 V 0.500 0.000 0.000

=====

[21]
This record from Alexandria via LeMat-Bulk describes a relaxed Fe2P2Pt crystal. The functional is PBE.

Values from the calculation:
The calculation puts the formation energy at -0.1326 eV/atom. Its final energy is -6.890 eV/atom. Its theoretical density is 9.80 g/cm³. The energy relative to the lowest polymorph listed for this composition is 131 meV per atom. Its crystal system is tetragonal.

abc: 5.761 5.761 5.761
angles: 145.04 145.04 50.28
Fractional positions:
1 Fe 0.117 0.117 0.000
2 Fe 0.883 0.883 0.000
3 P 0.250 0.750 0.500
4 P 0.750 0.250 0.500
5 Pt 0.500 0.500 0.000

=====

[22]
This record from Alexandria via LeMat-Bulk describes a relaxed Mg3As2Pd crystal. The functional is PBE.

Values from the calculation:
The calculation puts the formation energy at -0.5656 eV/atom. Its final energy is -3.778 eV/atom. Its theoretical density is 4.62 g/cm³. Its crystal system is orthorhombic.

abc: 10.615 4.068 10.967
angles: 90.00 90.00 90.00
Fractional positions:
1 Mg 0.054 0.250 0.122
2 Mg 0.128 0.750 0.549
3 Mg 0.222 0.250 0.804
4 Mg 0.278 0.750 0.304
5 Mg 0.372 0.250 0.049
6 Mg 0.446 0.750 0.622
7 Mg 0.554 0.250 0.378
8 Mg 0.628 0.750 0.951
9 Mg 0.722 0.250 0.696
10 Mg 0.778 0.750 0.196
11 Mg 0.872 0.250 0.451
12 Mg 0.946 0.750 0.878
13 As 0.005 0.250 0.694
14 As 0.177 0.750 0.996
15 As 0.323 0.250 0.496
16 As 0.495 0.750 0.194
17 As 0.505 0.250 0.806
18 As 0.677 0.750 0.504
19 As 0.823 0.250 0.004
20 As 0.995 0.750 0.306
21 Pd 0.127 0.250 0.367
22 Pd 0.373 0.750 0.867
23 Pd 0.627 0.250 0.133
24 Pd 0.873 0.750 0.633